[1]
A plane-wave DFT calculation with PBE-GGA was carried out for RbBa2Tl after structural relaxation.

Its formation energy is -71 meV per atom. The calculation puts the total energy at -1.8657 eV per atom. For the energy above the most stable polymorph in this dataset, the calculation gives 131.1 meV per atom.

The space group is R-3m (No. 166, hexagonal axes) and the conventional cell measures 4.5578, 4.5578 and 41.5268 Å, with angles of 90.00, 90.00 and 120.00 degrees. The distinct sites, in fractional coordinates, are Rb at (0.0000, 0.0000, 0.0000), Ba at (0.0000, 0.0000, 0.1090) and Tl at (0.0000, 0.0000, 0.5000).

[2]
A plane-wave DFT calculation with PBE-GGA was carried out for Dy2MgAs3Rh4 after structural relaxation.

Its formation energy is -889 meV per atom. The calculation puts the total energy at -6.3041 eV per atom.

The space group is P-4m2 (No. 115) and the conventional cell measures 4.024, 4.024 and 11.103 Å, with angles of 90.00, 90.00 and 90.00 degrees. The distinct sites, in fractional coordinates, are Dy at (0.000, 0.500, 0.241), Mg at (0.000, 0.000, 0.500), As at (0.000, 0.500, 0.867), As at (0.500, 0.500, 0.500), Rh at (0.000, 0.000, 0.000), Rh at (0.000, 0.500, 0.653) and Rh at (0.500, 0.500, 0.000).